SrAlRu3: relaxed, PBE.

Values from the calculation:
As for the symmetry: Pm-3m (221). The final energy comes out at -29.64 eV per cell. The total magnetization comes out at 1.7 μB per formula unit. The formation energy comes out at 3.61 eV/f.u. For the density of states at the Fermi level, the calculation gives 7.24 states/eV per cell.

a b c (Å): 4.629 4.629 4.629
angles (deg): 90.00 90.00 90.00
Atoms (fractional coordinates):
Ru 0.000 0.000 0.500
Al 0.000 0.000 0.000
Sr 0.500 0.500 0.500
Ru 0.500 0.000 0.000
Ru 0.000 0.500 0.000